# 1
# Lu3B2S | the Open Quantum Materials Database | PBE-GGA | optimized geometry
# DFT total energy = -5.77 eV per atom
data_Lu3B2S
_cell_length_a 3.5674
_cell_length_b 3.5674
_cell_length_c 20.0531
_cell_angle_alpha 90.00
_cell_angle_beta 90.00
_cell_angle_gamma 120.00
_space_group_name_H-M_alt 'P 63/m m c'
_space_group_IT_number 194
_space_group_name_Hall '-P 6c 2c'
loop_
_atom_site_label
_atom_site_fract_x
_atom_site_fract_y
_atom_site_fract_z
Lu1 0.0000 0.0000 0.0000
Lu2 0.3333 0.6667 0.1584
B1 0.3333 0.6667 0.5836
S1 0.0000 0.0000 0.2500

***

# 2
# GePd | the Open Quantum Materials Database | PBE-GGA | optimized geometry
# DFT total energy = -5.26 eV per atom
data_GePd
_cell_length_a 3.8504
_cell_length_b 3.8504
_cell_length_c 5.4716
_cell_angle_alpha 90.00
_cell_angle_beta 90.00
_cell_angle_gamma 120.00
_space_group_name_H-M_alt 'P 63/m m c'
_space_group_IT_number 194
_space_group_name_Hall '-P 6c 2c'
loop_
_atom_site_label
_atom_site_fract_x
_atom_site_fract_y
_atom_site_fract_z
Ge1 0.3333 0.6667 0.2500
Pd1 0.0000 0.0000 0.0000